Record 1
DFT (PBE) results for a relaxed structure of Pr2Ho3Sc8.

Lattice parameters (Å, degrees): 11.865 11.865 11.865 30.41 30.41 30.41
Element x y z (fractional)
Pr1 0.139 0.139 0.139
Pr2 0.861 0.861 0.861
Ho1 0.315 0.315 0.315
Ho2 0.500 0.500 0.500
Ho3 0.685 0.685 0.685
Sc1 0.229 0.229 0.229
Sc2 0.229 0.229 0.724
Sc3 0.229 0.724 0.229
Sc4 0.276 0.771 0.771
Sc5 0.724 0.229 0.229
Sc6 0.771 0.276 0.771
Sc7 0.771 0.771 0.276
Sc8 0.771 0.771 0.771

Calculated values
As for the space group: No. 166. Its crystal system is trigonal.

Record 2
DFT (PBE) results for a relaxed structure of Pr2Ho6Sc5.

Lattice parameters (Å, degrees): 11.422 19.441 3.482 90.00 90.00 90.00
Element x y z (fractional)
Pr1 0.154 0.219 0.000
Pr2 0.346 0.719 0.000
Pr3 0.654 0.281 0.000
Pr4 0.846 0.781 0.000
Ho1 0.055 0.921 0.000
Ho2 0.087 0.634 0.000
Ho3 0.177 0.381 0.500
Ho4 0.323 0.881 0.500
Ho5 0.413 0.134 0.000
Ho6 0.445 0.421 0.000
Ho7 0.555 0.579 0.000
Ho8 0.587 0.866 0.000
Ho9 0.677 0.119 0.500
Ho10 0.823 0.619 0.500
Ho11 0.913 0.366 0.000
Ho12 0.945 0.079 0.000
Sc1 0.000 0.500 0.500
Sc2 0.106 0.779 0.500
Sc3 0.200 0.049 0.500
Sc4 0.300 0.549 0.500
Sc5 0.394 0.279 0.500
Sc6 0.500 0.000 0.500
Sc7 0.606 0.721 0.500
Sc8 0.700 0.451 0.500
Sc9 0.800 0.951 0.500
Sc10 0.894 0.221 0.500

Calculated values
As for the space group: No. 55. Its crystal system is orthorhombic.

Record 3
DFT (PBE) results for a relaxed structure of Pr4Ho6Sc.

Lattice parameters (Å, degrees): 9.677 9.677 9.677 139.90 139.90 58.00
Element x y z (fractional)
Pr1 0.137 0.137 0.623
Pr2 0.486 0.863 0.000
Pr3 0.514 0.514 0.377
Pr4 0.863 0.486 0.000
Ho1 0.000 0.500 0.500
Ho2 0.054 0.700 0.000
Ho3 0.300 0.300 0.355
Ho4 0.500 0.000 0.500
Ho5 0.700 0.054 0.000
Ho6 0.946 0.946 0.645
Sc1 0.500 0.500 0.000

Calculated values
As for the space group: No. 121. Its crystal system is tetragonal.

Record 4
DFT (PBE) results for a relaxed structure of Pr2Ho5Sc4.

Lattice parameters (Å, degrees): 12.222 12.222 12.222 164.04 138.18 45.04
Element x y z (fractional)
Pr1 0.232 0.232 0.000
Pr2 0.768 0.768 0.000
Ho1 0.166 0.363 0.803
Ho2 0.440 0.637 0.803
Ho3 0.500 0.000 0.500
Ho4 0.560 0.363 0.197
Ho5 0.834 0.637 0.197
Sc1 0.094 0.094 0.000
Sc2 0.177 0.500 0.677
Sc3 0.823 0.500 0.323
Sc4 0.906 0.906 0.000

Calculated values
As for the space group: No. 71. Its crystal system is orthorhombic.

Record 5
DFT (PBE) results for a relaxed structure of PrHo2Sc.

Lattice parameters (Å, degrees): 3.520 3.520 9.899 90.00 90.00 90.00
Element x y z (fractional)
Pr1 0.000 0.000 0.000
Ho1 0.500 0.500 0.267
Ho2 0.500 0.500 0.733
Sc1 0.000 0.000 0.500

Calculated values
As for the space group: No. 123. Its crystal system is tetragonal. The value obtained for the energy above the most stable polymorph in this dataset is 6.0 meV per atom.

Record 6
DFT (PBE) results for a relaxed structure of Pr3Ho3Sc.

Lattice parameters (Å, degrees): 6.626 6.626 10.577 90.10 90.10 94.53
Element x y z (fractional)
Pr1 0.017 0.372 0.747
Pr2 0.173 0.173 0.075
Pr3 0.372 0.017 0.747
Pr4 0.628 0.983 0.253
Pr5 0.827 0.827 0.925
Pr6 0.983 0.628 0.253
Ho1 0.174 0.174 0.433
Ho2 0.318 0.682 0.500
Ho3 0.322 0.678 0.000
Ho4 0.678 0.322 0.000
Ho5 0.682 0.318 0.500
Ho6 0.826 0.826 0.567
Sc1 0.475 0.475 0.252
Sc2 0.525 0.525 0.748

Calculated values
As for the space group: No. 12. Its crystal system is monoclinic. The value obtained for the energy above the most stable polymorph in this dataset is 73.3 meV per atom.

Number 1: total magnetic moment 0.0 μB/cell, DFT total energy -5.42 eV per atom, volume 379.3 Å³/cell. Number 2: total magnetic moment 0.0 μB/cell, DFT total energy -5.16 eV per atom, volume 773.3 Å³/cell. Number 3: total magnetic moment 0.0 μB/cell, DFT total energy -4.52 eV per atom, volume 372.6 Å³/cell. Number 4: total magnetic moment 0.0 μB/cell, DFT total energy -5.11 eV per atom, volume 334.3 Å³/cell. Number 5: total magnetic moment 0.0 μB/cell, DFT total energy -5.02 eV per atom, volume 122.6 Å³/cell. Number 6: total magnetic moment 0.0 μB/cell, DFT total energy -4.80 eV per atom, volume 462.8 Å³/cell.